Below is crystalline BaLiAl2 at its relaxed geometry, with properties calculated at the GGA-PBE level.

Calculated values
Magnetization (μB/f.u.): 0.00
Energy relative to the elements (meV per atom): -177.9
Energy above the most stable polymorph in this dataset (eV per atom): 0.0000
V (Å³ per cell): 218.6
Electronic total energy (eV per atom): -3.01

Geometry as CIF:
```
data_BaLiAl2
_chemical_formula_sum 'Ba2 Li2 Al4'
_symmetry_space_group_name_H-M 'C 1 m 1'
_symmetry_Int_Tables_number 8
_cell_length_a 7.9231
_cell_length_b 4.5751
_cell_length_c 6.5872
_cell_angle_alpha 90.00
_cell_angle_beta 113.73
_cell_angle_gamma 90.00
loop_
_symmetry_equiv_pos_as_xyz
'x,y,z'
'x,-y,z'
'x+1/2,y+1/2,z'
'x+1/2,-y+1/2,z'
loop_
_atom_site_label
_atom_site_fract_x
_atom_site_fract_y
_atom_site_fract_z
Ba1 0.0000 0.0000 0.0000
Li1 0.3074 0.5000 0.4225
Al1 0.0073 0.5000 0.5220
Al2 0.2017 0.0000 0.6055
```